(1)
This record from OQMD describes a geometry-optimized ZnSn2 structure. The functional is PBE.

The total energy comes out at -65.76 eV for the cell shown. As for the calculated volume: 667 Å³ per cell.

It has space group Fd-3m (No. 227, origin choice 2), with a = 8.736 Å, b = 8.736 Å, c = 8.736 Å, α = 90.00°, β = 90.00° and γ = 90.00°. The distinct sites, in fractional coordinates, are Zn at (0.125, 0.125, 0.125) and Sn at (0.000, 0.000, 0.500).

***

(2)
This record from OQMD describes a geometry-optimized ZnSn structure. The functional is PBE.

The total energy comes out at -29.90 eV for the cell shown. As for the calculated volume: 265 Å³ per cell.

It has space group Pmc2_1 (No. 26), with a = 5.073 Å, b = 10.089 Å, c = 5.170 Å, α = 90.00°, β = 90.00° and γ = 90.00°. The distinct sites, in fractional coordinates, are Zn at (0.000, 0.069, 0.000), Zn at (0.000, 0.420, 0.975), Zn at (0.500, 0.074, 0.339), Sn at (0.000, 0.229, 0.478), Sn at (0.500, 0.215, 0.857) and Sn at (0.500, 0.417, 0.322).

***

(3)
This record from OQMD describes a geometry-optimized ZnSn structure. The functional is PBE.

The total energy comes out at -19.71 eV for the cell shown. As for the calculated volume: 181 Å³ per cell.

It has space group P-6m2 (No. 187), with a = 6.4862 Å, b = 6.4862 Å, c = 4.9745 Å, α = 90.00°, β = 90.00° and γ = 120.00°. The distinct sites, in fractional coordinates, are Zn at (0.0000, 0.0000, 0.0000), Zn at (0.1431, 0.2863, 0.5000), Sn at (0.0160, 0.5080, 0.0000) and Sn at (0.6667, 0.3333, 0.5000).

***

(4)
This record from OQMD describes a geometry-optimized ZnSn4 structure. The functional is PBE.

The total energy comes out at -67.69 eV for the cell shown. As for the calculated volume: 521 Å³ per cell.

It has space group Ccce (No. 68, origin choice 2), with a = 6.560 Å, b = 12.127 Å, c = 6.553 Å, α = 90.00°, β = 90.00° and γ = 90.00°. The distinct sites, in fractional coordinates, are Zn at (0.000, 0.250, 0.250) and Sn at (0.167, 0.118, 0.576).

***

(5)
This record from OQMD describes a geometry-optimized ZnSn structure. The functional is PBE.

The total energy comes out at -4.94 eV for the cell shown. As for the calculated volume: 45 Å³ per cell.

It has space group P-6m2 (No. 187), with a = 3.3533 Å, b = 3.3533 Å, c = 4.5935 Å, α = 90.00°, β = 90.00° and γ = 120.00°. The distinct sites, in fractional coordinates, are Zn at (0.0000, 0.0000, 0.0000) and Sn at (0.3333, 0.6667, 0.5000).

***

(6)
This record from OQMD describes a geometry-optimized ZnSn structure. The functional is PBE.

The total energy comes out at -19.84 eV for the cell shown. As for the calculated volume: 179 Å³ per cell.

It has space group Pmm2 (No. 25), with a = 4.927 Å, b = 6.779 Å, c = 5.348 Å, α = 90.00°, β = 90.00° and γ = 90.00°. The distinct sites, in fractional coordinates, are Zn at (0.000, 0.000, 0.000), Zn at (0.000, 0.208, 0.559), Zn at (0.500, 0.000, 0.708), Sn at (0.000, 0.500, 0.047), Sn at (0.500, 0.224, 0.215) and Sn at (0.500, 0.500, 0.683).

***

(7)
This record from OQMD describes a geometry-optimized ZnSn structure. The functional is PBE.

The total energy comes out at -40.07 eV for the cell shown. As for the calculated volume: 350 Å³ per cell.

It has space group Pmmn (No. 59, origin choice 2), with a = 5.147 Å, b = 6.306 Å, c = 10.788 Å, α = 90.00°, β = 90.00° and γ = 90.00°. The distinct sites, in fractional coordinates, are Zn at (0.250, 0.031, 0.071), Zn at (0.250, 0.250, 0.313), Zn at (0.250, 0.250, 0.859), Sn at (0.250, 0.000, 0.590), Sn at (0.250, 0.750, 0.281) and Sn at (0.250, 0.750, 0.855).

***

(8)
This record from OQMD describes a geometry-optimized ZrZn2Sn2 structure. The functional is PBE.

The total energy comes out at -37.58 eV for the cell shown. As for the calculated volume: 209 Å³ per cell.

It has space group I4/mmm (No. 139), with a = 3.895 Å, b = 3.895 Å, c = 13.797 Å, α = 90.00°, β = 90.00° and γ = 90.00°. The distinct sites, in fractional coordinates, are Zr at (0.000, 0.000, 0.000), Zn at (0.000, 0.500, 0.250) and Sn at (0.000, 0.000, 0.394).

***

- Number 7 is which compound?
  ZnSn

***

- Among the records above, which one has the lowest calculated volume?
  number 5

***

- Which of these has the lowest calculated volume?
  number 5